This record from Alexandria via LeMat-Bulk describes a relaxed Re2BPb crystal. The functional is PBE.

Computed properties:
ΔH_f (0 K): 1.117 eV per atom
electronic total energy: -7.70 eV per atom
total magnetization: 0.00 μB/f.u.
V: 155.7 Å³/cell

a = 4.6721 Å, b = 4.6721 Å, c = 7.8613 Å
α = 72.71°, β = 72.71°, γ = 90.00°
With the nearest neighbours (Å) after each atom.
Sites, in units of the cell vectors:
B1 0.5000 0.5000 0.0000  4 Re 2.18
B2 0.2500 0.7500 0.5000  4 Re 2.18
Re1 0.2779 0.6250 0.2500  2 B 2.18
Re2 0.4721 0.1250 0.2500  2 B 2.18
Re3 0.3750 0.5279 0.7500  2 B 2.18
Re4 0.8750 0.7221 0.7500  2 B 2.18
Pb1 0.7500 0.2500 0.5000  4 Re 2.84
Pb2 0.0000 0.0000 0.0000  4 Re 2.84